[1]
Computed, not measured: an optimized crystal structure of Cs2KU3Se8 at the GGA-PBE level of DFT.

Calculated values
E_form (uncorrected) ... -115 kJ/mol of atoms

Unit cell a=9.8662 b=9.8662 c=9.8662 alpha=51.45 beta=51.45 gamma=51.45
Fractional positions:
Cs 0.0000 0.0000 0.0000
Cs 0.3616 0.3616 0.3616
K 0.6266 0.6266 0.6266
U 0.5009 0.9992 0.9992
U 0.9992 0.5009 0.9992
U 0.9992 0.9992 0.5009
Se 0.1957 0.7389 0.7389
Se 0.2246 0.2246 0.2246
Se 0.2606 0.2606 0.8082
Se 0.2606 0.8082 0.2606
Se 0.7389 0.1957 0.7389
Se 0.7389 0.7389 0.1957
Se 0.7718 0.7718 0.7718
Se 0.8082 0.2606 0.2606

[2]
Computed, not measured: an optimized crystal structure of VTcHg2 at the GGA-PBE level of DFT.

Calculated values
Energy of formation ... 0.62 eV/atom
Distance to the lowest polymorph of the same formula ... 0.000 eV/atom

Unit cell a=4.6654 b=4.6654 c=4.6654 alpha=60.00 beta=60.00 gamma=60.00
Fractional positions:
V 0.0000 0.0000 0.0000
Tc 0.5000 0.5000 0.5000
Hg 0.2500 0.2500 0.2500
Hg 0.7500 0.7500 0.7500

[3]
Computed, not measured: an optimized crystal structure of Li2TaBe at the GGA-PBE level of DFT.

Calculated values
Energy of formation ... 0.42 eV/atom

Unit cell a=3.0112 b=4.0889 c=4.6424 alpha=90.00 beta=90.00 gamma=90.00
Fractional positions:
Li 0.0000 0.0000 0.0000
Li 0.5000 0.5000 0.0000
Ta 0.0000 0.5000 0.5000
Be 0.5000 0.0000 0.5000

[4]
Computed, not measured: an optimized crystal structure of Nd3Ti4O12 at the GGA-PBE level of DFT.

Calculated values
Distance to the lowest polymorph of the same formula ... 0.000 eV/atom
E_form (uncorrected) ... -312 kJ/mol of atoms

Unit cell a=22.4440 b=7.6430 c=5.4639 alpha=90.00 beta=90.00 gamma=90.00
Fractional positions:
Nd 0.0272 0.2500 0.0461
Nd 0.1755 0.2500 0.5788
Nd 0.2040 0.7500 0.5624
Nd 0.2960 0.2500 0.0624
Nd 0.3245 0.7500 0.0788
Nd 0.4728 0.7500 0.5461
Nd 0.5272 0.2500 0.4539
Nd 0.6755 0.2500 0.9212
Nd 0.7040 0.7500 0.9376
Nd 0.7960 0.2500 0.4376
Nd 0.8245 0.7500 0.4212
Nd 0.9728 0.7500 0.9539
Ti 0.0611 0.5119 0.5478
Ti 0.0611 0.9881 0.5478
Ti 0.1760 0.5013 0.0621
Ti 0.1760 0.9987 0.0621
Ti 0.3240 0.0013 0.5621
Ti 0.3240 0.4987 0.5621
Ti 0.4389 0.0119 0.0478
Ti 0.4389 0.4881 0.0478
Ti 0.5611 0.5119 0.9522
Ti 0.5611 0.9881 0.9522
Ti 0.6760 0.5013 0.4379
Ti 0.6760 0.9987 0.4379
Ti 0.8240 0.0013 0.9379
Ti 0.8240 0.4987 0.9379
Ti 0.9389 0.0119 0.4522
Ti 0.9389 0.4881 0.4522
O 0.0128 0.5384 0.2533
O 0.0128 0.9616 0.2533
O 0.0611 0.7500 0.6631
O 0.0698 0.2500 0.4702
O 0.1126 0.0613 0.8682
O 0.1126 0.4387 0.8682
O 0.1419 0.5334 0.3844
O 0.1419 0.9666 0.3844
O 0.1847 0.7500 0.0009
O 0.1923 0.2500 0.1556
O 0.2362 0.0404 0.8016
O 0.2362 0.4596 0.8016
O 0.2638 0.5404 0.3016
O 0.2638 0.9596 0.3016
O 0.3077 0.7500 0.6556
O 0.3153 0.2500 0.5009
O 0.3581 0.0334 0.8844
O 0.3581 0.4666 0.8844
O 0.3874 0.5613 0.3682
O 0.3874 0.9387 0.3682
O 0.4302 0.7500 0.9702
O 0.4389 0.2500 0.1631
O 0.4872 0.0384 0.7533
O 0.4872 0.4616 0.7533
O 0.5128 0.5384 0.2467
O 0.5128 0.9616 0.2467
O 0.5611 0.7500 0.8369
O 0.5698 0.2500 0.0298
O 0.6126 0.0613 0.6318
O 0.6126 0.4387 0.6318
O 0.6419 0.5334 0.1156
O 0.6419 0.9666 0.1156
O 0.6847 0.7500 0.4991
O 0.6923 0.2500 0.3444
O 0.7362 0.0404 0.6984
O 0.7362 0.4596 0.6984
O 0.7638 0.5404 0.1984
O 0.7638 0.9596 0.1984
O 0.8077 0.7500 0.8444
O 0.8153 0.2500 0.9991
O 0.8581 0.0334 0.6156
O 0.8581 0.4666 0.6156
O 0.8874 0.5613 0.1318
O 0.8874 0.9387 0.1318
O 0.9302 0.7500 0.5298
O 0.9389 0.2500 0.3369
O 0.9872 0.0384 0.7467
O 0.9872 0.4616 0.7467

[5]
Computed, not measured: an optimized crystal structure of Tb3Dy4Al4 at the GGA-PBE level of DFT.

Calculated values
Energy of formation ... -0.18 eV/atom

Unit cell a=9.5145 b=9.5145 c=9.5145 alpha=148.69 beta=138.47 gamma=52.91
Fractional positions:
Tb 0.0000 0.0000 0.0000
Tb 0.4004 0.9004 0.5000
Tb 0.5996 0.0996 0.5000
Dy 0.0555 0.3203 0.7353
Dy 0.4150 0.6797 0.7353
Dy 0.5850 0.3203 0.2647
Dy 0.9445 0.6797 0.2647
Al 0.1735 0.1735 0.0000
Al 0.2973 0.5000 0.7973
Al 0.7027 0.5000 0.2027
Al 0.8265 0.8265 0.0000

[6]
Computed, not measured: an optimized crystal structure of Re3P at the GGA-PBE level of DFT.

Calculated values
Energy of formation ... -0.12 eV/atom
Distance to the lowest polymorph of the same formula ... 0.000 eV/atom

Unit cell a=2.9517 b=2.9517 c=7.6319 alpha=90.00 beta=90.00 gamma=120.00
Fractional positions:
Re 0.0000 0.0000 0.0000
Re 0.6667 0.3333 0.2810
Re 0.6667 0.3333 0.7190
P 0.0000 0.0000 0.5000

Record-wise M_tot values, in μB per cell: 5.000; 0.933; 0.000; 4.070; 0.000; 0.000